Here is a relaxed GaSiSN2 crystal from the Alexandria database. Energies are from PBE.

Lattice parameters (Å, degrees): 3.0135 3.0135 9.2597 99.15 99.15 60.24
Closest atoms and distances in Å follow each position.
Positions (direct):
Ga1 0.0000 0.0000 0.0000  3 N 1.94
Si1 0.2410 0.2410 0.7130  4 N 1.76-1.80
S1 0.0779 0.0779 0.2424  1 Ga 2.21
N1 0.3035 0.3035 0.9066  1 Si 1.76, 3 Ga 1.94
N2 0.5581 0.5581 0.6623  3 Si 1.80

Properties
Density ... 3.65 Mg/m³
E_form (uncorrected) ... -44.5 kJ per mole of atoms
V ... 71.76 Å³ per cell
Energy above the lowest structure with this stoichiometry ... 0.0 meV/atom